Version a
Li2NiRh: relaxed, PBE.

a = 4.993 Å, b = 4.993 Å, c = 4.993 Å
α = 149.05°, β = 128.18°, γ = 61.59°
Fractional positions:
1 Li 0.242 0.242 0.000
2 Li 0.758 0.758 0.000
3 Ni 0.000 0.500 0.500
4 Rh 0.500 0.000 0.500

- total magnetic moment (μB per formula unit) = 0.00



Version b
Li2NiRh: relaxed, PBE.

a = 4.142 Å, b = 4.142 Å, c = 4.142 Å
α = 60.00°, β = 60.00°, γ = 60.00°
Fractional positions:
1 Li 0.000 0.000 0.000
2 Li 0.250 0.250 0.250
3 Ni 0.750 0.750 0.750
4 Rh 0.500 0.500 0.500

- total magnetic moment (μB per formula unit) = 1.39



Name the least stable of them. version b.



Version a
LiNiRh: relaxed, PBE.

a = 5.134 Å, b = 4.074 Å, c = 7.023 Å
α = 90.00°, β = 90.00°, γ = 90.00°
Fractional positions:
1 Li 0.001 0.250 0.080
2 Li 0.499 0.750 0.580
3 Li 0.501 0.250 0.420
4 Li 0.999 0.750 0.920
5 Ni 0.001 0.250 0.417
6 Ni 0.499 0.750 0.917
7 Ni 0.501 0.250 0.083
8 Ni 0.999 0.750 0.583
9 Rh 0.250 0.250 0.750
10 Rh 0.250 0.750 0.250
11 Rh 0.750 0.250 0.750
12 Rh 0.750 0.750 0.250

- total magnetic moment (μB per formula unit) = 0.92



Version b
LiNiRh: relaxed, PBE.

a = 3.958 Å, b = 3.958 Å, c = 3.958 Å
α = 60.00°, β = 60.00°, γ = 60.00°
Fractional positions:
1 Li 0.000 0.000 0.000
2 Ni 0.250 0.250 0.250
3 Rh 0.500 0.500 0.500

- total magnetic moment (μB per formula unit) = 1.66



Name the least stable of them. version b.